[1]
PaGaFeGe: optimized geometry, PBE-GGA.

POSCAR file:
```
PaGaFeGe
1.0
4.221 0.000 0.000
-2.110 3.252 -0.124
0.000 -2.311 5.835
Ge Pa Ga Fe
1 1 1 1
Direct
0.843 0.685 0.392
0.062 0.124 0.007
0.578 0.157 0.640
0.413 0.825 0.216
```

Results
M_tot: 0.00 μB per formula unit

[2]
PaGaFe2Ge4: optimized geometry, PBE-GGA.

POSCAR file:
```
PaGaFe2Ge4
1.0
3.608 0.000 0.000
0.000 3.608 0.000
0.000 0.000 10.839
Ge Ga Pa Fe
4 1 1 2
Direct
0.500 0.000 0.227
0.000 0.500 0.227
0.500 0.000 0.773
0.000 0.500 0.773
0.000 0.000 0.500
0.000 0.000 0.000
0.500 0.500 0.609
0.500 0.500 0.391
```

Results
M_tot: 3.26 μB per formula unit

[3]
GaFeGe2Pd: optimized geometry, PBE-GGA.

POSCAR file:
```
GaFeGe2Pd
1.0
-3.294 -3.566 0.318
0.441 -0.846 -4.910
3.554 -3.205 0.871
Ge Ga Fe Pd
2 1 1 1
Direct
0.000 0.000 0.500
0.500 0.000 0.000
0.500 0.500 0.500
0.000 0.500 0.000
0.000 0.000 0.000
```

Results
M_tot: 3.25 μB per formula unit

[4]
PmGa2Fe2Ge: optimized geometry, PBE-GGA.

POSCAR file:
```
PmGa2Fe2Ge
1.0
-0.368 -3.937 -1.940
4.064 0.430 -1.644
2.126 -2.470 4.610
Pm Ga Ge Fe
1 2 1 2
Direct
0.000 0.000 0.500
0.500 0.500 0.257
0.500 0.500 0.743
0.000 0.000 0.000
0.500 0.000 0.000
0.000 0.500 0.000
```

Results
M_tot: 3.18 μB per formula unit

[5]
ScGaFeGe2: optimized geometry, PBE-GGA.

POSCAR file:
```
ScGaFeGe2
1.0
-2.915 -0.260 3.452
-3.452 -0.460 -2.950
0.516 -4.495 0.097
Sc Ga Fe Ge
1 1 1 2
Direct
0.500 0.500 0.500
0.000 0.500 0.000
0.000 0.000 0.000
0.500 0.000 0.000
0.000 0.000 0.500
```

Results
M_tot: 1.13 μB per formula unit

[6]
GaFeGeSe2: optimized geometry, PBE-GGA.

POSCAR file:
```
GaFeGeSe2
1.0
5.052 0.000 0.000
0.000 4.734 0.000
0.000 0.000 5.052
Fe Ge Ga Se
1 1 1 2
Direct
0.500 0.500 0.500
0.000 0.500 0.000
0.000 0.000 0.000
0.000 0.000 0.500
0.500 0.000 0.000
```

Results
ΔE_f (raw): 822.2 meV/atom
M_tot: 3.22 μB per formula unit

[7]
SrGa2FeGe: optimized geometry, PBE-GGA.

POSCAR file:
```
SrGa2FeGe
1.0
-2.370 -4.044 0.088
3.400 -1.937 2.581
-2.173 1.358 3.882
Fe Ge Ga Sr
1 1 2 1
Direct
0.000 0.000 0.000
0.000 0.000 0.500
0.500 0.000 0.000
0.000 0.500 0.000
0.500 0.500 0.500
```

Results
M_tot: 1.38 μB per formula unit

[8]
SrGaFeGe2: optimized geometry, PBE-GGA.

POSCAR file:
```
SrGaFeGe2
1.0
4.709 0.000 0.000
0.000 4.709 0.000
0.000 0.000 4.728
Fe Ga Sr Ge
1 1 1 2
Direct
0.000 0.000 0.000
0.000 0.000 0.500
0.500 0.500 0.500
0.000 0.500 0.000
0.500 0.000 0.000
```

Results
M_tot: 2.12 μB per formula unit

[9]
Tb4Ga6FeGe6: optimized geometry, PBE-GGA.

POSCAR file:
```
Tb4Ga6FeGe6
1.0
-3.434 6.430 1.614
-4.367 -5.720 1.988
6.453 -0.381 3.734
Tb Ga Ge Fe
4 6 6 1
Direct
0.500 0.500 0.500
0.500 0.000 0.000
0.000 0.000 0.500
0.000 0.500 0.000
0.250 0.500 0.750
0.750 0.250 0.500
0.750 0.500 0.250
0.250 0.750 0.500
0.500 0.750 0.250
0.500 0.250 0.750
0.000 0.712 0.712
0.288 0.288 0.000
0.712 0.000 0.712
0.000 0.288 0.288
0.288 0.000 0.288
0.712 0.712 0.000
0.000 0.000 0.000
```

Results
M_tot: 0.00 μB per formula unit

[10]
TbGa2Fe2Ge: optimized geometry, PBE-GGA.

POSCAR file:
```
TbGa2Fe2Ge
1.0
4.391 0.000 0.000
0.000 4.391 0.000
0.000 0.000 5.545
Fe Ge Ga Tb
2 1 2 1
Direct
0.500 0.000 0.000
0.000 0.500 0.000
0.000 0.000 0.000
0.500 0.500 0.740
0.500 0.500 0.260
0.000 0.000 0.500
```

Results
M_tot: 3.06 μB per formula unit

[11]
TlGaFeGe2: optimized geometry, PBE-GGA.

POSCAR file:
```
TlGaFeGe2
1.0
-3.664 2.836 -0.501
-1.829 -2.919 -3.139
-2.280 -2.329 3.495
Tl Ge Ga Fe
1 2 1 1
Direct
0.500 0.500 0.500
0.000 0.500 0.000
0.500 0.000 0.000
0.000 0.000 0.500
0.000 0.000 0.000
```

Results
M_tot: 1.65 μB per formula unit

[12]
TmGa2Fe2Ge: optimized geometry, PBE-GGA.

POSCAR file:
```
TmGa2Fe2Ge
1.0
4.382 0.000 0.000
0.000 4.382 0.000
0.000 0.000 5.469
Fe Ga Ge Tm
2 2 1 1
Direct
0.500 0.000 0.000
0.000 0.500 0.000
0.500 0.500 0.739
0.500 0.500 0.261
0.000 0.000 0.000
0.000 0.000 0.500
```

Results
M_tot: 2.90 μB per formula unit

[13]
Y4Ga6FeGe6: optimized geometry, PBE-GGA.

POSCAR file:
```
Y4Ga6FeGe6
1.0
7.464 0.000 0.000
-2.488 7.037 0.000
-2.488 -3.519 6.095
Ge Ga Y Fe
6 6 4 1
Direct
0.712 0.712 0.000
0.000 0.712 0.712
0.288 0.288 0.000
0.000 0.288 0.288
0.288 0.000 0.288
0.712 0.000 0.712
0.750 0.250 0.500
0.500 0.250 0.750
0.250 0.500 0.750
0.750 0.500 0.250
0.500 0.750 0.250
0.250 0.750 0.500
0.500 0.500 0.500
0.000 0.000 0.500
0.500 0.000 0.000
0.000 0.500 0.000
0.000 0.000 0.000
```

Results
M_tot: 0.00 μB per formula unit

[14]
GaFe6H3: optimized geometry, PBE-GGA.

POSCAR file:
```
GaFe6H3
1.0
-1.786 2.052 -4.369
1.165 -5.010 0.199
-3.161 -0.573 4.044
Fe H Ga
6 3 1
Direct
0.298 0.887 0.229
0.314 0.911 0.731
0.340 0.410 0.229
0.818 0.930 0.230
0.819 0.403 0.727
0.327 0.417 0.729
0.644 0.323 0.965
0.315 0.657 0.973
0.307 0.153 0.460
0.818 0.909 0.727
```

Results
M_tot: 13.91 μB per formula unit

[15]
GaFe2H2: optimized geometry, PBE-GGA.

POSCAR file:
```
GaFe2H2
1.0
2.939 0.000 0.000
0.000 2.939 0.000
1.469 1.469 4.754
Fe Ga H
2 1 2
Direct
0.344 0.344 0.311
0.656 0.656 0.689
0.000 0.000 0.000
0.750 0.250 0.500
0.250 0.750 0.500
```

Results
M_tot: 3.25 μB per formula unit
relative energy among the computed polymorphs: 0.0 kJ per mole of atoms

[16]
Ga2Fe4H: optimized geometry, PBE-GGA.

POSCAR file:
```
Ga2Fe4H
1.0
-3.162 1.514 -0.896
-0.759 -2.836 -2.114
-4.656 -3.480 3.244
Ga H Fe
2 1 4
Direct
0.648 0.648 0.703
0.352 0.352 0.297
0.000 0.000 0.000
0.000 0.500 0.000
0.500 0.000 0.000
0.849 0.849 0.303
0.151 0.151 0.697
```

Results
M_tot: 7.98 μB per formula unit

[17]
GaFe2H2: optimized geometry, PBE-GGA.

POSCAR file:
```
GaFe2H2
1.0
3.440 0.000 0.000
0.000 3.440 0.000
1.720 1.720 4.025
Fe H Ga
2 2 1
Direct
0.750 0.250 0.500
0.250 0.750 0.500
0.332 0.332 0.336
0.668 0.668 0.664
0.000 0.000 0.000
```

Results
M_tot: 4.24 μB per formula unit
relative energy among the computed polymorphs: 9.6 kJ per mole of atoms

[18]
GaFe2H2: optimized geometry, PBE-GGA.

POSCAR file:
```
GaFe2H2
1.0
-5.310 -1.899 0.336
-0.173 -0.511 -5.623
0.901 -2.485 0.198
Ga H Fe
2 4 4
Direct
0.000 0.000 0.000
0.500 0.500 0.000
0.403 0.903 0.000
0.903 0.597 0.000
0.097 0.403 0.000
0.597 0.097 0.000
0.140 0.640 0.500
0.860 0.360 0.500
0.360 0.140 0.500
0.640 0.860 0.500
```

Results
M_tot: 2.76 μB per formula unit
relative energy among the computed polymorphs: 32.9 kJ per mole of atoms

[19]
GaFe2H2: optimized geometry, PBE-GGA.

POSCAR file:
```
GaFe2H2
1.0
-1.339 4.443 0.051
-2.116 -2.870 2.971
4.754 0.091 1.492
H Ga Fe
4 2 4
Direct
0.123 0.623 0.247
0.377 0.877 0.753
0.873 0.873 0.747
0.127 0.127 0.253
0.750 0.250 0.500
0.500 0.500 0.000
0.423 0.577 0.500
0.827 0.173 0.000
0.077 0.923 0.500
0.173 0.827 0.000
```

Results
M_tot: 3.42 μB per formula unit
relative energy among the computed polymorphs: 3.3 kJ per mole of atoms

[20]
Ga2Fe2H: optimized geometry, PBE-GGA.

POSCAR file:
```
Ga2Fe2H
1.0
-1.027 3.405 3.909
-4.928 0.598 -1.815
-1.239 -3.075 2.352
H Fe Ga
2 4 4
Direct
0.000 0.000 0.000
0.500 0.500 0.000
0.160 0.340 0.000
0.340 0.840 0.000
0.840 0.660 0.000
0.660 0.160 0.000
0.834 0.334 0.500
0.334 0.166 0.500
0.666 0.834 0.500
0.166 0.666 0.500
```

Results
M_tot: 3.42 μB per formula unit

[21]
HfGaFe2H: optimized geometry, PBE-GGA.

POSCAR file:
```
HfGaFe2H
1.0
3.866 0.000 0.000
0.000 3.866 0.000
0.000 0.000 3.981
Fe Ga Hf H
2 1 1 1
Direct
0.000 0.500 0.000
0.500 0.000 0.000
0.500 0.500 0.500
0.000 0.000 0.500
0.000 0.000 0.000
```

Results
M_tot: 2.73 μB per formula unit

[22]
GaFeH2I: optimized geometry, PBE-GGA.

POSCAR file:
```
GaFeH2I
1.0
-0.082 3.740 -0.122
-1.242 0.145 5.276
3.643 0.108 0.855
H I Fe Ga
2 1 1 1
Direct
0.000 0.000 0.500
0.500 0.000 0.000
0.500 0.500 0.500
0.000 0.500 0.000
0.000 0.000 0.000
```

Results
M_tot: 2.72 μB per formula unit

[23]
GaFe2HIr: optimized geometry, PBE-GGA.

POSCAR file:
```
GaFe2HIr
1.0
-0.353 3.552 0.631
-3.392 -0.111 -1.273
-1.420 -0.826 3.854
Fe Ga H Ir
2 1 1 1
Direct
0.500 0.000 0.000
0.000 0.500 0.000
0.000 0.000 0.500
0.000 0.000 0.000
0.500 0.500 0.500
```

Results
M_tot: 5.05 μB per formula unit
relative energy among the computed polymorphs: 8.3 kJ per mole of atoms

[24]
GaFeHIr2: optimized geometry, PBE-GGA.

POSCAR file:
```
GaFeHIr2
1.0
-2.301 -0.314 3.233
0.099 -3.967 -0.315
3.010 -0.094 2.133
H Ir Ga Fe
1 2 1 1
Direct
0.000 0.000 0.000
0.000 0.500 0.000
0.500 0.000 0.000
0.500 0.500 0.500
0.000 0.000 0.500
```

Results
M_tot: 3.17 μB per formula unit

[25]
GaFe2HIr: optimized geometry, PBE-GGA.

POSCAR file:
```
GaFe2HIr
1.0
3.730 0.000 0.000
0.000 3.730 0.000
0.000 0.000 3.945
Fe Ir H Ga
2 1 1 1
Direct
0.500 0.000 0.000
0.000 0.500 0.000
0.000 0.000 0.500
0.000 0.000 0.000
0.500 0.500 0.500
```

Results
M_tot: 4.95 μB per formula unit
relative energy among the computed polymorphs: 0.0 kJ per mole of atoms

[26]
Ga2FeHIr: optimized geometry, PBE-GGA.

POSCAR file:
```
Ga2FeHIr
1.0
-0.561 2.555 3.323
-1.717 -3.199 2.170
2.829 -0.785 1.081
Ga H Ir Fe
2 1 1 1
Direct
0.500 0.000 0.000
0.000 0.500 0.000
0.000 0.000 0.000
0.500 0.500 0.500
0.000 0.000 0.500
```

Results
M_tot: 0.00 μB per formula unit

N(E_F) across the listed records, respectively: 0.61; 0.80; 0.72; 1.05; 0.96; 0.77; 0.58; 0.57; 0.28; 1.06; 0.51; 1.06; 0.26; 0.35; 0.34; 0.79; 0.59; 0.59; 0.64; 0.66; 0.82; 1.14; 0.68; 1.04; 0.62; 0.42 states/eV/atom.
Electronic total energy across the listed records, respectively: -26.34; -47.05; -23.01; -33.21; -26.94; -18.96; -22.19; -23.39; -81.14; -32.94; -22.52; -32.53; -88.33; -62.76; -26.74; -43.21; -26.24; -50.06; -53.13; -51.98; -33.93; -17.34; -32.25; -32.78; -32.68; -27.12 eV per cell.